Entry 1:
Crystalline TcAs2Pt at its relaxed geometry. Source: the Alexandria database, functional GGA-PBE.

Cell: 2.9398 2.9398 8.6410 Å, 90.00 90.00 117.55°
Last column: nearest neighbours and their distance in Å.
Atoms (fractional coordinates):
1 Tc 0.5000 0.5000 0.7500  4 As 2.53
2 As 0.0000 0.0000 0.5160  2 Tc 2.53, 2 Pt 2.76
3 Pt 0.5000 0.5000 0.2500  4 As 2.76, 6 Pt 2.94-3.05
4 As 0.0000 0.0000 0.9840  2 Tc 2.53, 2 Pt 2.76

## Properties
Calculated volume: 16.6 Å³/atom
Distance to the lowest polymorph of the same formula: 36.88 kJ per mole of atoms
Formation energy: 0.278 eV per atom
Density of states at the Fermi level: 0.686 states/eV per atom

---

Entry 2:
Crystalline Pm3Tm12Tl at its relaxed geometry. Source: the Alexandria database, functional GGA-PBE.

Cell: 4.9256 4.9256 19.9424 Å, 90.00 90.00 90.00°
Last column: nearest neighbours and their distance in Å.
Atoms (fractional coordinates):
1 Tm 0.5000 0.0000 0.8791  8 Tm 3.45-3.48, 2 Tl 3.45, 2 Pm 3.54
2 Tm 0.5000 0.5000 0.5000  4 Pm 3.48, 8 Tm 3.53
3 Pm 0.0000 0.0000 0.7514  12 Tm 3.48-3.54
4 Pm 0.0000 0.0000 0.5000  12 Tm 3.48-3.53
5 Tm 0.5000 0.5000 0.0000  8 Tm 3.45, 4 Tl 3.48
6 Tm 0.5000 0.0000 0.3734  8 Tm 3.48-3.58, 4 Pm 3.50-3.53
7 Tm 0.0000 0.5000 0.1209  8 Tm 3.45-3.48, 2 Tl 3.45, 2 Pm 3.54
8 Tm 0.5000 0.0000 0.1209  8 Tm 3.45-3.48, 2 Tl 3.45, 2 Pm 3.54
9 Pm 0.0000 0.0000 0.2486  12 Tm 3.48-3.54
10 Tm 0.5000 0.5000 0.7568  8 Tm 3.47-3.58, 4 Pm 3.48
11 Tm 0.5000 0.5000 0.2432  8 Tm 3.47-3.58, 4 Pm 3.48
12 Tl 0.0000 0.0000 0.0000  12 Tm 3.45-3.48
13 Tm 0.0000 0.5000 0.8791  8 Tm 3.45-3.48, 2 Tl 3.45, 2 Pm 3.54
14 Tm 0.0000 0.5000 0.3734  8 Tm 3.48-3.58, 4 Pm 3.50-3.53
15 Tm 0.0000 0.5000 0.6266  8 Tm 3.48-3.58, 4 Pm 3.50-3.53
16 Tm 0.5000 0.0000 0.6266  8 Tm 3.48-3.58, 4 Pm 3.50-3.53

## Properties
Calculated volume: 30.2 Å³/atom
Formation energy: -0.015 eV per atom
Density of states at the Fermi level: 1.250 states/eV per atom

---

Entry 3:
Crystalline Pu3AlGe at its relaxed geometry. Source: the Alexandria database, functional GGA-PBE.

Cell: 9.7932 7.9870 6.0416 Å, 90.00 90.00 106.04°
Last column: nearest neighbours and their distance in Å.
Atoms (fractional coordinates):
1 Pu 0.8225 0.5894 0.7602  3 Pu 2.90-3.14, 3 Al 2.99-3.15, 3 Ge 3.03-3.20
2 Pu 0.8226 0.5894 0.2398  3 Pu 2.90-3.14, 3 Al 2.99-3.15, 3 Ge 3.03-3.19
3 Pu 0.3800 0.8343 0.7470  4 Pu 2.98-3.20, 3 Ge 3.02-3.29, 3 Al 3.11-3.31
4 Al 0.3168 0.1479 0.0000  2 Ge 3.02, 10 Pu 3.14-3.37
5 Ge 0.8967 0.2774 0.0000  8 Pu 3.02-3.14, 2 Al 3.03
6 Ge 0.3172 0.1511 0.5000  2 Al 3.02, 10 Pu 3.14-3.35
7 Ge 0.6828 0.8489 0.5000  2 Al 3.02, 10 Pu 3.14-3.35
8 Pu 0.6200 0.1657 0.2530  4 Pu 2.98-3.20, 3 Ge 3.02-3.29, 3 Al 3.11-3.31
9 Pu 0.0000 0.0000 0.2541  4 Pu 2.97-3.26, 2 Ge 3.09, 2 Al 3.19
10 Al 0.6832 0.8521 0.0000  2 Ge 3.02, 10 Pu 3.14-3.37
11 Pu 0.1774 0.4106 0.7602  3 Pu 2.90-3.14, 3 Al 2.99-3.15, 3 Ge 3.03-3.19
12 Ge 0.1033 0.7226 0.0000  8 Pu 3.02-3.14, 2 Al 3.03
13 Al 0.9078 0.3052 0.5000  8 Pu 2.99-3.19, 2 Ge 3.03, 1 Al 3.14
14 Al 0.0922 0.6948 0.5000  8 Pu 2.99-3.19, 2 Ge 3.03, 1 Al 3.14
15 Pu 0.6200 0.1657 0.7469  4 Pu 2.98-3.20, 3 Ge 3.02-3.29, 3 Al 3.11-3.31
16 Pu 0.5000 0.5000 0.2532  6 Pu 2.98-3.20, 2 Ge 3.23, 2 Al 3.27
17 Pu 0.3800 0.8343 0.2530  4 Pu 2.98-3.20, 3 Ge 3.02-3.29, 3 Al 3.11-3.31
18 Pu 0.1775 0.4106 0.2398  3 Pu 2.90-3.14, 3 Al 2.99-3.15, 3 Ge 3.03-3.20
19 Pu 0.5000 0.5000 0.7468  6 Pu 2.98-3.20, 2 Ge 3.23, 2 Al 3.27
20 Pu 0.0000 0.0000 0.7459  4 Pu 2.97-3.26, 2 Ge 3.09, 2 Al 3.19

## Properties
Calculated volume: 22.7 Å³/atom
Formation energy: -0.143 eV per atom
Density of states at the Fermi level: 3.032 states/eV per atom

---

Entry 4:
Crystalline Rb2PAuBr6 at its relaxed geometry. Source: the Alexandria database, functional GGA-PBE.

Cell: 7.5748 7.5748 7.6717 Å, 60.42 60.42 90.00°
Last column: nearest neighbours and their distance in Å.
Atoms (fractional coordinates):
1 Rb 0.2500 0.7500 0.5000  12 Br 3.79-3.84
2 Rb 0.7500 0.2500 0.5000  12 Br 3.79-3.84
3 Au 0.0000 0.0000 0.0000  6 Br 2.75-2.90
4 Br 0.2567 0.2567 0.0000  1 P 2.61, 1 Au 2.75
5 Br 0.2567 0.7433 0.0000  1 P 2.61, 1 Au 2.75
6 Br 0.7433 0.7433 0.0000  1 P 2.61, 1 Au 2.75
7 Br 0.7433 0.2567 0.0000  1 P 2.61, 1 Au 2.75
8 P 0.5000 0.5000 0.0000  6 Br 2.60-2.61
9 Br 0.7363 0.7363 0.5275  1 P 2.60, 1 Au 2.90
10 Br 0.2637 0.2637 0.4725  1 P 2.60, 1 Au 2.90

## Properties
Calculated volume: 31.5 Å³/atom
Density of states at the Fermi level: 0.048 states/eV per atom
Energy relative to the elements, uncorrected: -0.79 eV/atom